Arrangement a

First-principles (PBE) data for crystalline PmMg6 at its relaxed geometry, as listed in the Alexandria database.

Cell: 9.612 5.932 12.213 Å, 90.00 90.00 90.00°
Space group Pnma (No. 62)
Asymmetric unit:
Pm  0.246  0.250  0.062 [4 per cell]
Mg  0.054  0.750  0.085 [4 per cell]
Mg  0.062  0.010  0.306 [8 per cell]
Mg  0.093  0.250  0.518 [4 per cell]
Mg  0.145  0.750  0.850 [4 per cell]
Mg  0.194  0.250  0.751 [4 per cell]


Arrangement b

First-principles (PBE) data for crystalline PmMg6 at its relaxed geometry, as listed in the Alexandria database.

Cell: 7.424 7.424 7.424 Å, 90.00 90.00 90.00°
Space group Im-3m (No. 229)
Asymmetric unit:
Pm  0.000  0.000  0.000 [2 per cell]
Mg  0.000  0.250  0.500 [12 per cell]


Which structure is the most stable? The one labeled arrangement a.


Arrangement a

First-principles (PBE) data for crystalline Pm7PrMg2 at its relaxed geometry, as listed in the Alexandria database.

Cell: 8.850 16.489 5.451 Å, 90.00 90.00 90.00°
Space group Cmmm (No. 65)
Asymmetric unit:
Pm  0.000  0.000  0.000 [2 per cell]
Pm  0.000  0.284  0.500 [4 per cell]
Pm  0.184  0.384  0.000 [8 per cell]
Pr  0.000  0.500  0.500 [2 per cell]
Mg  0.000  0.202  0.000 [4 per cell]


Arrangement b

First-principles (PBE) data for crystalline Pm7PrMg2 at its relaxed geometry, as listed in the Alexandria database.

Cell: 8.870 3.422 11.687 Å, 90.00 110.96 90.00°
Space group P2/m (No. 10)
Asymmetric unit:
Pm  0.000  0.000  0.000 [1 per cell]
Pm  0.193  0.000  0.306 [2 per cell]
Pm  0.220  0.000  0.810 [2 per cell]
Pm  0.398  0.500  0.115 [2 per cell]
Pr  0.000  0.500  0.500 [1 per cell]
Mg  0.401  0.000  0.602 [2 per cell]


Which structure is the most stable? The one labeled arrangement b.


Arrangement a

First-principles (PBE) data for crystalline PmPr2Mg2 at its relaxed geometry, as listed in the Alexandria database.

Cell: 3.886 5.588 14.424 Å, 90.00 97.79 90.00°
Space group P2_1/m (No. 11)
Asymmetric unit:
Pm  0.150  0.250  0.297 [2 per cell]
Pr  0.045  0.750  0.090 [2 per cell]
Pr  0.236  0.750  0.474 [2 per cell]
Mg  0.359  0.250  0.720 [2 per cell]
Mg  0.448  0.750  0.894 [2 per cell]


Arrangement b

First-principles (PBE) data for crystalline PmPr2Mg2 at its relaxed geometry, as listed in the Alexandria database.

Cell: 5.319 7.229 8.277 Å, 90.00 90.00 90.00°
Space group Immm (No. 71)
Asymmetric unit:
Pm  0.000  0.000  0.000 [2 per cell]
Pr  0.000  0.500  0.194 [4 per cell]
Mg  0.000  0.206  0.500 [4 per cell]


Which structure is the most stable? The one labeled arrangement a.


Arrangement a

First-principles (PBE) data for crystalline PmPr3Mg at its relaxed geometry, as listed in the Alexandria database.

Cell: 20.011 3.805 9.079 Å, 90.00 103.89 90.00°
Space group C2/m (No. 12)
Asymmetric unit:
Pm  0.099  0.000  0.043 [4 per cell]
Pr  0.002  0.500  0.269 [4 per cell]
Pr  0.187  0.500  0.375 [4 per cell]
Pr  0.202  0.500  0.828 [4 per cell]
Mg  0.095  0.000  0.560 [4 per cell]


Arrangement b

First-principles (PBE) data for crystalline PmPr3Mg at its relaxed geometry, as listed in the Alexandria database.

Cell: 3.836 9.733 9.840 Å, 90.00 101.18 90.00°
Space group P2_1/m (No. 11)
Asymmetric unit:
Pm  0.009  0.250  0.018 [2 per cell]
Pr  0.197  0.250  0.395 [2 per cell]
Pr  0.403  0.004  0.806 [4 per cell]
Mg  0.166  0.750  0.332 [2 per cell]


Which structure is the most stable? The one labeled arrangement a.


Arrangement a

First-principles (PBE) data for crystalline PmPr2Mg4 at its relaxed geometry, as listed in the Alexandria database.

Cell: 5.627 5.627 16.566 Å, 90.00 90.00 90.00°
Space group I4/mmm (No. 139)
Asymmetric unit:
Pm  0.000  0.000  0.000 [2 per cell]
Pr  0.000  0.000  0.392 [4 per cell]
Mg  0.000  0.000  0.185 [4 per cell]
Mg  0.000  0.500  0.000 [4 per cell]


Arrangement b

First-principles (PBE) data for crystalline PmPr2Mg4 at its relaxed geometry, as listed in the Alexandria database.

Cell: 5.496 5.496 14.878 Å, 90.00 90.00 90.00°
Space group I4/mmm (No. 139)
Asymmetric unit:
Pm  0.000  0.000  0.000 [2 per cell]
Pr  0.000  0.000  0.255 [4 per cell]
Mg  0.000  0.500  0.115 [8 per cell]


Which structure is the most stable? The one labeled arrangement b.


Arrangement a

First-principles (PBE) data for crystalline Pm3PrMg at its relaxed geometry, as listed in the Alexandria database.

Cell: 3.816 9.754 9.635 Å, 90.00 101.33 90.00°
Space group P2_1/m (No. 11)
Asymmetric unit:
Pm  0.101  0.004  0.201 [4 per cell]
Pm  0.302  0.250  0.603 [2 per cell]
Pr  0.488  0.250  0.978 [2 per cell]
Mg  0.333  0.750  0.668 [2 per cell]


Arrangement b

First-principles (PBE) data for crystalline Pm3PrMg at its relaxed geometry, as listed in the Alexandria database.

Cell: 19.939 3.788 8.924 Å, 90.00 103.83 90.00°
Space group C2/m (No. 12)
Asymmetric unit:
Pm  0.003  0.000  0.274 [4 per cell]
Pm  0.187  0.000  0.378 [4 per cell]
Pm  0.204  0.000  0.825 [4 per cell]
Pr  0.100  0.500  0.042 [4 per cell]
Mg  0.096  0.500  0.564 [4 per cell]


Which structure is the most stable? The one labeled arrangement b.


Arrangement a

First-principles (PBE) data for crystalline PmPr4Mg at its relaxed geometry, as listed in the Alexandria database.

Cell: 3.728 3.728 14.661 Å, 90.00 90.00 90.00°
Space group P4/mmm (No. 123)
Asymmetric unit:
Pm  0.000  0.000  0.000 [1 per cell]
Pr  0.000  0.000  0.352 [2 per cell]
Pr  0.500  0.500  0.176 [2 per cell]
Mg  0.500  0.500  0.500 [1 per cell]


Arrangement b

First-principles (PBE) data for crystalline PmPr4Mg at its relaxed geometry, as listed in the Alexandria database.

Cell: 10.581 13.774 6.631 Å, 90.00 122.16 90.00°
Space group C2/c (No. 15)
Asymmetric unit:
Pm  0.000  0.140  0.250 [4 per cell]
Pr  0.166  0.436  0.227 [8 per cell]
Pr  0.170  0.302  0.717 [8 per cell]
Mg  0.000  0.097  0.750 [4 per cell]


Which structure is the most stable? The one labeled arrangement a.


Arrangement a

First-principles (PBE) data for crystalline PmPrMg2 at its relaxed geometry, as listed in the Alexandria database.

Cell: 7.778 7.778 7.778 Å, 90.00 90.00 90.00°
Space group Fm-3m (No. 225)
Asymmetric unit:
Pm  0.000  0.000  0.000 [4 per cell]
Pr  0.000  0.000  0.500 [4 per cell]
Mg  0.250  0.250  0.250 [8 per cell]


Arrangement b

First-principles (PBE) data for crystalline PmPrMg2 at its relaxed geometry, as listed in the Alexandria database.

Cell: 3.5754 3.5754 33.0748 Å, 90.00 90.00 120.00°
Space group R-3m (No. 166, hexagonal axes)
Asymmetric unit:
Pm  0.0000  0.0000  0.0000 [3 per cell]
Pr  0.0000  0.0000  0.5000 [3 per cell]
Mg  0.0000  0.0000  0.2507 [6 per cell]


Which structure is the most stable? The one labeled arrangement a.


Arrangement a

First-principles (PBE) data for crystalline Pm2PrMg at its relaxed geometry, as listed in the Alexandria database.

Cell: 5.023 5.023 5.059 Å, 90.00 90.00 90.00°
Space group P4/mmm (No. 123)
Asymmetric unit:
Pm  0.000  0.500  0.000 [2 per cell]
Pr  0.000  0.000  0.500 [1 per cell]
Mg  0.500  0.500  0.500 [1 per cell]


Arrangement b

First-principles (PBE) data for crystalline Pm2PrMg at its relaxed geometry, as listed in the Alexandria database.

Cell: 8.012 8.012 8.012 Å, 90.00 90.00 90.00°
Space group Fm-3m (No. 225)
Asymmetric unit:
Pm  0.250  0.250  0.250 [8 per cell]
Pr  0.000  0.000  0.000 [4 per cell]
Mg  0.000  0.000  0.500 [4 per cell]


Arrangement c

First-principles (PBE) data for crystalline Pm2PrMg at its relaxed geometry, as listed in the Alexandria database.

Cell: 3.761 3.761 9.096 Å, 90.00 90.00 90.00°
Space group P4/mmm (No. 123)
Asymmetric unit:
Pm  0.000  0.000  0.223 [2 per cell]
Pr  0.500  0.500  0.500 [1 per cell]
Mg  0.500  0.500  0.000 [1 per cell]


Which structure is the most stable? The one labeled arrangement c.


Arrangement a

First-principles (PBE) data for crystalline Pm2Pr7Mg2 at its relaxed geometry, as listed in the Alexandria database.

Cell: 10.917 11.759 6.256 Å, 90.00 111.79 90.00°
Space group C2/m (No. 12)
Asymmetric unit:
Pm  0.207  0.000  0.092 [4 per cell]
Pr  0.000  0.000  0.500 [2 per cell]
Pr  0.080  0.500  0.298 [4 per cell]
Pr  0.179  0.242  0.689 [8 per cell]
Mg  0.000  0.229  0.000 [4 per cell]


Arrangement b

First-principles (PBE) data for crystalline Pm2Pr7Mg2 at its relaxed geometry, as listed in the Alexandria database.

Cell: 9.150 10.162 8.318 Å, 90.00 101.70 90.00°
Space group C2/m (No. 12)
Asymmetric unit:
Pm  0.000  0.177  0.000 [4 per cell]
Pr  0.000  0.000  0.500 [2 per cell]
Pr  0.177  0.500  0.989 [4 per cell]
Pr  0.192  0.283  0.674 [8 per cell]
Mg  0.103  0.500  0.360 [4 per cell]


Which structure is the most stable? The one labeled arrangement a.


Arrangement a

First-principles (PBE) data for crystalline Pm3Pr4Mg at its relaxed geometry, as listed in the Alexandria database.

Cell: 3.707 3.707 19.896 Å, 90.00 90.00 90.00°
Space group P4/mmm (No. 123)
Asymmetric unit:
Pm  0.000  0.000  0.000 [1 per cell]
Pm  0.000  0.000  0.261 [2 per cell]
Pr  0.500  0.500  0.130 [2 per cell]
Pr  0.500  0.500  0.390 [2 per cell]
Mg  0.000  0.000  0.500 [1 per cell]


Arrangement b

First-principles (PBE) data for crystalline Pm3Pr4Mg at its relaxed geometry, as listed in the Alexandria database.

Cell: 28.264 3.686 5.453 Å, 90.00 92.12 90.00°
Space group C2/m (No. 12)
Asymmetric unit:
Pm  0.000  0.000  0.000 [2 per cell]
Pm  0.151  0.000  0.726 [4 per cell]
Pr  0.097  0.500  0.215 [4 per cell]
Pr  0.218  0.500  0.248 [4 per cell]
Mg  0.000  0.500  0.500 [2 per cell]


Which structure is the most stable? The one labeled arrangement a.